Material: ScCuS2Cl
Method: DFT, PBE
State: optimized geometry

Computed properties:
space-group type	P4/mmm
formation energy without anion corrections	-0.4047	eV per atom
total moment	0.000	μB per formula unit

abc: 4.615 4.615 4.467
angles: 90.00 90.00 90.00
Positions (direct):
Sc: 0.000 0.000 0.000
Cu: 0.500 0.500 0.500
S: 0.000 0.500 0.500
S: 0.500 0.000 0.500
Cl: 0.500 0.500 0.000

***

Material: PBr2F
Method: DFT, PBE
State: optimized geometry

Computed properties:
space-group type	Fm-3m
formation energy without anion corrections	0.1020	eV per atom
total moment	0.000	μB per formula unit

abc: 4.623 4.623 4.623
angles: 60.00 60.00 60.00
Positions (direct):
P: 0.000 0.000 0.000
Br: 0.250 0.250 0.250
Br: 0.750 0.750 0.750
F: 0.500 0.500 0.500

***

Material: Rb2TcClF6
Method: DFT, PBE
State: optimized geometry

Computed properties:
space-group type	Fm-3m
formation energy without anion corrections	-2.1366	eV per atom
total moment	2.000	μB per formula unit

abc: 6.868 6.868 6.868
angles: 60.00 60.00 60.00
Positions (direct):
Rb: 0.250 0.250 0.250
Rb: 0.750 0.750 0.750
Tc: 0.000 0.000 0.000
Cl: 0.500 0.500 0.500
F: 0.199 0.199 0.801
F: 0.199 0.801 0.199
F: 0.199 0.801 0.801
F: 0.801 0.199 0.199
F: 0.801 0.199 0.801
F: 0.801 0.801 0.199

***

Material: AlTl2Hg
Method: DFT, PBE
State: optimized geometry

Computed properties:
space-group type	R-3m
DFT total energy	-2.0457	eV per atom
total moment	0.000	μB per formula unit

abc: 11.346 11.346 11.346
angles: 16.90 16.90 16.90
Positions (direct):
Al: 0.000 0.000 0.000
Tl: 0.259 0.259 0.259
Tl: 0.741 0.741 0.741
Hg: 0.500 0.500 0.500

***

Going through the records in order, we get density of states at the Fermi level values of 1.46 0.00 6.50 1.49 states/eV/f.u..